(1)
## Te2PtO (GGA-PBE)

Data for a relaxed structure of Te2PtO.

Structure (CIF):
```
data_Te2PtO
_symmetry_space_group_name_H-M 'P 1'
_symmetry_Int_Tables_number 1
_symmetry_space_group_name_Hall 'P 1'
_cell_length_a 5.2761
_cell_length_b 5.2761
_cell_length_c 7.5223
_cell_angle_alpha 69.47
_cell_angle_beta 69.47
_cell_angle_gamma 90.00
loop_
_atom_site_label
_atom_site_type_symbol
_atom_site_fract_x
_atom_site_fract_y
_atom_site_fract_z
Te1 Te 0.1670 0.6250 0.2500
Te2 Te 0.3750 0.4170 0.7500
Te3 Te 0.8750 0.8330 0.7500
Te4 Te 0.5830 0.1250 0.2500
Pt1 Pt 0.7500 0.2500 0.5000
Pt2 Pt 0.0000 0.0000 0.0000
O1 O 0.2500 0.7500 0.5000
O2 O 0.5000 0.5000 0.0000
```

=====

(2)
## Te3PtO (GGA-PBE)

Data for a relaxed structure of Te3PtO.

Structure (CIF):
```
data_Te3PtO
_symmetry_space_group_name_H-M 'P 1'
_symmetry_Int_Tables_number 1
_symmetry_space_group_name_Hall 'P 1'
_cell_length_a 4.7458
_cell_length_b 4.7458
_cell_length_c 4.7458
_cell_angle_alpha 90.00
_cell_angle_beta 90.00
_cell_angle_gamma 90.00
loop_
_atom_site_label
_atom_site_type_symbol
_atom_site_fract_x
_atom_site_fract_y
_atom_site_fract_z
Te1 Te 0.5000 0.0000 0.0000
Te2 Te 0.0000 0.5000 0.0000
Te3 Te 0.0000 0.0000 0.5000
O1 O 0.0000 0.0000 0.0000
Pt1 Pt 0.5000 0.5000 0.5000
```

=====

Quick rundown of magnetization, same order as above: 0.0; 0.0 μB/cell
Quick rundown of Fermi-level density of states, same order as above: 3.69; 5.43 states/eV/cell
Quick rundown of energy relative to the elements, uncorrected, same order as above: -0.1151; 0.4899 eV per atom